Record 1
Density functional theory data (PBE) for a relaxed structure of Zr2AgOs.

Output
ΔE_f = -0.073 eV/atom
E = -31.47 eV/f.u.

a b c (Å): 3.3404 4.6510 9.9966
angles (deg): 90.00 90.00 90.00
With the nearest neighbours (Å) after each atom.
Space group Imm2 (No. 44)
Unique sites:
Zr 0.0000 0.0000 0.0000 [2 per cell]  4 Os 2.87
Zr 0.0000 0.5000 0.2235 [2 per cell]  2 Os 2.70, 4 Ag 2.91
Ag 0.0000 0.5000 0.7743 [2 per cell]  2 Os 2.90, 8 Zr 2.91-3.24
Os 0.0000 0.0000 0.5110 [2 per cell]  6 Zr 2.70-2.87, 2 Ag 2.90

---

Record 2
Density functional theory data (PBE) for a relaxed structure of ZrAgOs3.

Output
ΔE_f = 2.457 eV/atom
E = -32.80 eV/f.u.
Energy above the most stable polymorph in this dataset = 0.047 eV per atom

a b c (Å): 4.8457 4.8457 4.8457
angles (deg): 90.00 90.00 90.00
With the nearest neighbours (Å) after each atom.
Space group Pm-3m (No. 221)
Unique sites:
Zr 0.0000 0.0000 0.0000 [1 per cell]  6 Os 2.42
Ag 0.5000 0.5000 0.5000 [1 per cell]  12 Os 3.43
Os 0.0000 0.0000 0.5000 [3 per cell]  2 Zr 2.42

---

Record 3
Density functional theory data (PBE) for a relaxed structure of ZrAgOs2.

Output
ΔE_f = 0.309 eV/atom
E = -32.62 eV/f.u.
Energy above the most stable polymorph in this dataset = 0.174 eV per atom

a b c (Å): 4.0252 4.0252 8.2549
angles (deg): 90.00 90.00 90.00
With the nearest neighbours (Å) after each atom.
Space group I4/mmm (No. 139)
Unique sites:
Zr 0.0000 0.0000 0.0000 [2 per cell]  4 Ag 2.85, 8 Os 2.88
Ag 0.0000 0.0000 0.5000 [2 per cell]  4 Zr 2.85, 8 Os 2.88
Os 0.0000 0.5000 0.2500 [4 per cell]  4 Os 2.85, 4 Zr 2.88, 4 Ag 2.88

---

Record 4
Density functional theory data (PBE) for a relaxed structure of ZrAgOs2.

Output
ΔE_f = 0.381 eV/atom
E = -32.33 eV/f.u.
Energy above the most stable polymorph in this dataset = 0.246 eV per atom

a b c (Å): 3.1740 4.6330 9.1848
angles (deg): 90.00 90.00 90.00
With the nearest neighbours (Å) after each atom.
Space group Cmmm (No. 65)
Unique sites:
Zr 0.0000 0.0000 0.0000 [2 per cell]  4 Os 2.71, 4 Zr 2.81
Ag 0.0000 0.0000 0.5000 [2 per cell]  4 Ag 2.81, 4 Os 2.87
Os 0.0000 0.5000 0.2397 [4 per cell]  2 Zr 2.71, 4 Os 2.81, 2 Ag 2.87

---

Record 5
Density functional theory data (PBE) for a relaxed structure of ZrAgOs2.

Output
ΔE_f = 0.314 eV/atom
E = -32.60 eV/f.u.
Energy above the most stable polymorph in this dataset = 0.179 eV per atom

a b c (Å): 2.8267 2.8267 29.1500
angles (deg): 90.00 90.00 120.00
With the nearest neighbours (Å) after each atom.
Space group R3m (No. 160, hexagonal axes)
Unique sites:
Zr 0.0000 0.0000 0.0000 [3 per cell]  6 Zr 2.83, 3 Os 3.03, 3 Ag 3.11
Ag 0.0000 0.0000 0.7575 [3 per cell]  6 Ag 2.83, 3 Os 2.95, 3 Zr 3.11
Os 0.0000 0.0000 0.2457 [3 per cell]  9 Os 2.63-2.83
Os 0.0000 0.0000 0.5085 [3 per cell]  9 Os 2.63-2.83

---

Record 6
Density functional theory data (PBE) for a relaxed structure of ZrAgOs2.

Output
ΔE_f = 0.287 eV/atom
E = -32.71 eV/f.u.
Energy above the most stable polymorph in this dataset = 0.152 eV per atom

a b c (Å): 3.0747 4.6108 9.6324
angles (deg): 90.00 90.00 90.00
With the nearest neighbours (Å) after each atom.
Space group Imm2 (No. 44)
Unique sites:
Zr 0.0000 0.0000 0.0000 [2 per cell]  6 Os 2.79-2.89, 2 Zr 3.07, 2 Ag 3.08
Ag 0.0000 0.5000 0.7768 [2 per cell]  6 Os 2.79-2.88, 2 Ag 3.07, 2 Zr 3.08
Os 0.0000 0.0000 0.5296 [2 per cell]  2 Os 2.59, 4 Zr 2.79, 2 Ag 2.88
Os 0.0000 0.5000 0.2460 [2 per cell]  2 Os 2.59, 4 Ag 2.79, 2 Zr 2.89

---

Record 7
Density functional theory data (PBE) for a relaxed structure of Zr4AgOs.

Output
ΔE_f = -0.222 eV/atom
E = -49.61 eV/f.u.
Energy above the most stable polymorph in this dataset = 0.000 eV per atom

a b c (Å): 3.2792 3.2792 11.4387
angles (deg): 90.00 90.00 90.00
With the nearest neighbours (Å) after each atom.
Space group P4/mmm (No. 123)
Unique sites:
Zr 0.0000 0.0000 0.1438 [2 per cell]  4 Os 2.84, 4 Zr 3.13
Zr 0.5000 0.5000 0.3277 [2 per cell]  4 Ag 3.04, 8 Zr 3.13-3.28
Ag 0.0000 0.0000 0.5000 [1 per cell]  8 Zr 3.04, 4 Ag 3.28
Os 0.5000 0.5000 0.0000 [1 per cell]  8 Zr 2.84

---

Record 8
Density functional theory data (PBE) for a relaxed structure of ZrAgOs2.

Output
ΔE_f = 0.634 eV/atom
E = -31.32 eV/f.u.
Energy above the most stable polymorph in this dataset = 0.499 eV per atom

a b c (Å): 4.0045 4.0045 18.9835
angles (deg): 90.00 90.00 90.00
With the nearest neighbours (Å) after each atom.
Space group I-42d (No. 122)
Unique sites:
Zr 0.0000 0.0000 0.0000 [4 per cell]  4 Ag 2.83, 4 Os 2.89
Ag 0.0000 0.0000 0.5000 [4 per cell]  4 Os 2.67, 4 Zr 2.83
Os 0.1737 0.2500 0.6250 [8 per cell]  2 Os 2.44, 2 Ag 2.67

---

Record 9
Density functional theory data (PBE) for a relaxed structure of ZrAgOs3.

Output
ΔE_f = 2.411 eV/atom
E = -33.04 eV/f.u.
Energy above the most stable polymorph in this dataset = 0.000 eV per atom

a b c (Å): 4.7103 4.7103 4.7103
angles (deg): 90.00 90.00 90.00
With the nearest neighbours (Å) after each atom.
Space group Pm-3m (No. 221)
Unique sites:
Zr 0.0000 0.0000 0.0000 [1 per cell]  12 Os 3.33
Ag 0.5000 0.5000 0.5000 [1 per cell]  6 Os 2.36
Os 0.0000 0.5000 0.5000 [3 per cell]  2 Ag 2.36

---

Record 10
Density functional theory data (PBE) for a relaxed structure of Zr2AgOs2.

Output
ΔE_f = 0.250 eV/atom
E = -41.16 eV/f.u.
Energy above the most stable polymorph in this dataset = 0.316 eV per atom

a b c (Å): 3.7020 3.7020 14.9618
angles (deg): 90.00 90.00 90.00
With the nearest neighbours (Å) after each atom.
Space group I4/mmm (No. 139)
Unique sites:
Zr 0.0000 0.0000 0.1121 [4 per cell]  4 Os 2.77
Ag 0.0000 0.0000 0.5000 [2 per cell]  8 Zr 3.11
Os 0.0000 0.5000 0.2500 [4 per cell]  4 Os 2.62, 4 Zr 2.77

---

Record 11
Density functional theory data (PBE) for a relaxed structure of ZrAgOs2.

Output
ΔE_f = 0.420 eV/atom
E = -32.18 eV/f.u.
Energy above the most stable polymorph in this dataset = 0.285 eV per atom

a b c (Å): 6.4594 6.4594 6.4594
angles (deg): 90.00 90.00 90.00
With the nearest neighbours (Å) after each atom.
Space group Fm-3m (No. 225)
Unique sites:
Zr 0.0000 0.0000 0.0000 [4 per cell]  8 Os 2.80
Ag 0.0000 0.0000 0.5000 [4 per cell]  8 Os 2.80
Os 0.2500 0.2500 0.2500 [8 per cell]  4 Ag 2.80, 4 Zr 2.80

---

Record 12
Density functional theory data (PBE) for a relaxed structure of Zr2AgOs2.

Output
ΔE_f = -0.066 eV/atom
E = -42.74 eV/f.u.
Energy above the most stable polymorph in this dataset = 0.000 eV per atom

a b c (Å): 7.5889 7.5889 3.2618
angles (deg): 90.00 90.00 90.00
With the nearest neighbours (Å) after each atom.
Space group P4/mbm (No. 127)
Unique sites:
Zr 0.1598 0.3402 0.0000 [4 per cell]  6 Os 2.73-2.78
Ag 0.0000 0.0000 0.5000 [2 per cell]  4 Os 2.95, 2 Ag 3.26, 8 Zr 3.29
Os 0.1368 0.6368 0.5000 [4 per cell]  6 Zr 2.73-2.78, 1 Os 2.94, 2 Ag 2.95

---

Record 13
Density functional theory data (PBE) for a relaxed structure of Zr2AgOs.

Output
ΔE_f = 0.236 eV/atom
E = -30.23 eV/f.u.

a b c (Å): 7.5124 7.5124 5.7955
angles (deg): 90.00 90.00 90.00
With the nearest neighbours (Å) after each atom.
Space group I-42d (No. 122)
Unique sites:
Zr 0.2233 0.2500 0.1250 [8 per cell]  2 Os 2.62, 2 Ag 2.89, 2 Zr 2.93
Ag 0.0000 0.0000 0.5000 [4 per cell]  4 Zr 2.89, 2 Os 2.90
Os 0.0000 0.0000 0.0000 [4 per cell]  4 Zr 2.62, 2 Ag 2.90

---

Record 14
Density functional theory data (PBE) for a relaxed structure of ZrAgOs2.

Output
ΔE_f = 0.135 eV/atom
E = -33.32 eV/f.u.
Energy above the most stable polymorph in this dataset = 0.000 eV per atom

a b c (Å): 2.8937 3.9558 5.8789
angles (deg): 90.00 90.00 90.00
With the nearest neighbours (Å) after each atom.
Space group Pmm2 (No. 25)
Unique sites:
Zr 0.0000 0.0000 0.0000 [1 per cell]  5 Os 2.67-2.91, 2 Zr 2.89, 4 Ag 2.92
Ag 0.5000 0.5000 0.2713 [1 per cell]  5 Os 2.72-2.93, 2 Ag 2.89, 4 Zr 2.92
Os 0.0000 0.0000 0.5460 [1 per cell]  1 Zr 2.67, 6 Os 2.69-2.89, 4 Ag 2.93
Os 0.5000 0.5000 0.7335 [1 per cell]  6 Os 2.69-2.89, 1 Ag 2.72, 4 Zr 2.91

---

Record 15
Density functional theory data (PBE) for a relaxed structure of Zr2AgOs.

Output
ΔE_f = 0.060 eV/atom
E = -30.94 eV/f.u.

a b c (Å): 3.4831 3.4831 6.2917
angles (deg): 90.00 90.00 90.00
With the nearest neighbours (Å) after each atom.
Space group P4mm (No. 99)
Unique sites:
Zr 0.0000 0.0000 0.0000 [1 per cell]  4 Os 2.77, 1 Ag 2.92, 4 Zr 3.09
Zr 0.5000 0.5000 0.2962 [1 per cell]  4 Ag 2.89, 4 Zr 3.09, 2 Os 3.13-3.16
Ag 0.0000 0.0000 0.5364 [1 per cell]  5 Zr 2.89-2.92, 4 Os 2.96
Os 0.5000 0.5000 0.7983 [1 per cell]  4 Zr 2.77, 4 Ag 2.96